Record 1
Here is a relaxed structure of Sr3CaCd from Alexandria via LeMat-Bulk. Energies are from PBE.

a = 4.268 Å, b = 9.987 Å, c = 11.033 Å
α = 87.36°, β = 90.00°, γ = 102.34°
Atoms (fractional coordinates):
Cd1 0.213 0.427 0.075
Cd2 0.787 0.573 0.925
Sr1 0.061 0.123 0.253
Sr2 0.252 0.504 0.686
Sr3 0.606 0.211 0.923
Sr4 0.748 0.496 0.314
Sr5 0.939 0.877 0.747
Sr6 0.394 0.789 0.077
Ca1 0.411 0.822 0.437
Ca2 0.589 0.178 0.563

Computed properties:
Final energy: -1.67 eV per atom
Energy above the lowest structure with this stoichiometry: 0 meV/atom
D(E_F): 11.618 states/eV/cell
Crystal system: monoclinic
SG: C2/m (12)
Spin magnetization: 0.000 Bohr magnetons per cell
Calculated formation energy: -0.08 eV per atom

***

Record 2
Here is a relaxed structure of Cs2BaBCl6 from Alexandria via LeMat-Bulk. Energies are from PBE.

a = 7.611 Å, b = 7.611 Å, c = 7.619 Å
α = 60.03°, β = 60.03°, γ = 90.00°
Site moments in Bohr magnetons follow the coordinates.
Atoms (fractional coordinates):
Cl1 0.281 0.281 0.438  0.04
Cl2 0.281 0.719 0.000  0.05
Cl3 0.719 0.719 0.562  0.04
Cl4 0.719 0.281 0.000  0.05
Cl5 0.719 0.719 0.000  0.05
Cl6 0.281 0.281 0.000  0.05
B1 0.500 0.500 0.000  0.38
Ba1 0.000 0.000 0.000  0.04
Cs1 0.250 0.750 0.500  0.00
Cs2 0.750 0.250 0.500  0.00

Computed properties:
Final energy: -3.46 eV per atom
D(E_F): 0.038 states/eV/cell
Crystal system: tetragonal
SG: I4/mmm (139)
Spin magnetization: 1.000 Bohr magnetons per cell

***

Record 3
Here is a relaxed structure of Sc3SnAu from Alexandria via LeMat-Bulk. Energies are from PBE.

a = 5.139 Å, b = 5.139 Å, c = 5.139 Å
α = 90.00°, β = 90.00°, γ = 90.00°
Atoms (fractional coordinates):
Sc1 0.000 0.000 0.500
Sc2 0.500 0.000 0.000
Sc3 0.000 0.500 0.000
Sn1 0.500 0.500 0.500
Au1 0.000 0.000 0.000

Computed properties:
Final energy: -5.43 eV per atom
Energy above the lowest structure with this stoichiometry: 0 meV/atom
D(E_F): 7.885 states/eV/cell
Crystal system: cubic
SG: Pm-3m (221)
Spin magnetization: 0.000 Bohr magnetons per cell
Calculated formation energy: -0.18 eV per atom